Compound: Re2NiCl
Source: Alexandria
Functional: PBE-GGA
Structure: optimized geometry

Computed properties:
E_form (uncorrected) ... 1017 meV/atom
ΔE to the lowest computed polymorph ... 716.7 meV per atom
Uncorrected energy ... -28.5 eV per cell
Size of the total moment ... 0.0 μB per cell

Cell: 4.5896 5.4463 2.7701 Å, 74.49 91.79 115.42°
With the nearest neighbours (Å) after each atom.
Atoms (fractional coordinates):
1 Cl 0.0000 0.5000 0.5000  4 Ni 2.64-2.72, 4 Re 2.70, 2 Cl 2.77
2 Ni 0.5000 0.5000 0.0000  4 Cl 2.64-2.72, 4 Re 2.70, 2 Ni 2.77
3 Re 0.0000 0.0000 0.0000  6 Re 2.64-2.77, 2 Cl 2.70, 2 Ni 2.70
4 Re 0.5000 0.0000 0.5000  6 Re 2.64-2.77, 2 Ni 2.70, 2 Cl 2.70